Record 1
A geometry-optimized Tb3Re2N8 structure, computed with GGA-PBE.

```
13
Lattice="2.835 1.637 6.493 -2.835 1.637 6.493 0.000 -3.273 6.493" Properties=species:S:1:pos:R:3 pbc="T T T"
Tb 0.000 0.000 0.000
Tb 0.000 0.000 3.809
Tb 0.000 0.000 15.671
Re 0.000 0.000 7.871
Re 0.000 0.000 11.609
N -1.491 -0.861 10.994
N 0.000 -1.722 8.486
N -1.491 0.861 8.486
N 0.000 0.000 6.079
N 0.000 0.000 13.401
N 1.491 -0.861 10.994
N 0.000 1.722 10.994
N 1.491 0.861 8.486
```

Raw formation energy: -0.66 eV per atom
Spin magnetization: 0.0000 μB per atom
DFT total energy: -8.766 eV per atom
V: 181 Å³ per cell

Record 2
A geometry-optimized Tb3ReN4 structure, computed with GGA-PBE.

```
16
Lattice="7.689 0.000 0.000 0.000 6.656 0.000 0.000 0.000 4.989" Properties=species:S:1:pos:R:3 pbc="T T T"
Tb 0.000 0.967 4.987
Tb 1.923 2.192 2.495
Tb 1.922 4.463 0.000
Tb 3.844 5.688 2.493
Tb 5.766 2.192 2.495
Tb 5.767 4.463 0.000
Re 0.000 5.457 2.447
Re 3.844 1.198 4.942
N 0.000 0.773 2.485
N 0.000 5.447 0.326
N 1.796 4.574 2.476
N 2.048 2.082 4.971
N 3.844 1.209 2.821
N 3.844 5.882 4.980
N 5.641 2.082 4.971
N 5.893 4.574 2.476
```

Raw formation energy: -0.98 eV per atom
Spin magnetization: 0.1036 μB per atom
DFT total energy: -8.434 eV per atom
V: 255 Å³ per cell

Record 3
A geometry-optimized Tb2ReN4 structure, computed with GGA-PBE.

```
14
Lattice="5.865 0.000 0.000 0.000 5.863 0.000 -1.980 0.000 6.215" Properties=species:S:1:pos:R:3 pbc="T T T"
Tb 0.940 1.466 0.224
Tb 0.299 1.466 3.468
Tb 3.587 4.397 2.747
Tb 2.946 4.397 5.991
Re 0.076 4.397 5.050
Re 3.810 1.466 1.164
N -1.220 3.022 4.690
N -1.220 5.772 4.690
N 2.567 4.397 0.570
N 1.543 4.397 3.966
N 2.342 1.466 2.249
N 1.319 1.466 5.645
N 5.106 0.090 1.524
N 5.106 2.841 1.524
```

Raw formation energy: -0.89 eV per atom
Spin magnetization: 0.0000 μB per atom
DFT total energy: -8.748 eV per atom
V: 214 Å³ per cell

Record 4
A geometry-optimized Tb2ReN5 structure, computed with GGA-PBE.

```
16
Lattice="1.959 -6.006 0.000 1.959 6.006 0.000 0.000 0.000 10.889" Properties=species:S:1:pos:R:3 pbc="T T T"
Tb 1.959 4.241 6.191
Tb 1.959 4.241 10.142
Tb 1.959 -4.241 0.747
Tb 1.959 -4.241 4.698
Re 1.959 4.297 2.722
Re 1.959 -4.297 8.167
N 1.959 5.454 1.363
N 1.959 5.454 4.082
N 1.959 2.729 1.077
N 1.959 2.729 4.367
N 1.959 2.436 8.167
N 1.959 -2.436 2.722
N 1.959 -2.729 6.522
N 1.959 -2.729 9.812
N 1.959 -5.454 6.807
N 1.959 -5.454 9.526
```

Raw formation energy: -0.31 eV per atom
Spin magnetization: 0.0301 μB per atom
DFT total energy: -8.225 eV per atom
V: 256 Å³ per cell